(1)
Compound: K2Hg6Au3
Source: Alexandria
Functional: PBE-GGA
Structure: relaxed

Output
N(E_F): 2.92 states/eV/f.u.
DFT formation energy: -0.16 eV per atom

abc: 8.705 8.705 4.787
angles: 90.00 90.00 120.00
Element x y z (fractional)
1 K 0.333 0.667 0.000
2 K 0.667 0.333 0.000
3 Hg 0.000 0.202 0.000
4 Hg 0.000 0.701 0.500
5 Hg 0.202 0.000 0.000
6 Hg 0.299 0.299 0.500
7 Hg 0.701 0.000 0.500
8 Hg 0.798 0.798 0.000
9 Au 0.000 0.378 0.500
10 Au 0.378 0.000 0.500
11 Au 0.622 0.622 0.500

(2)
Compound: K12HgAu7
Source: Alexandria
Functional: PBE-GGA
Structure: relaxed

Output
N(E_F): 10.18 states/eV/f.u.
DFT formation energy: -0.21 eV per atom

abc: 9.623 9.623 9.623
angles: 99.65 99.65 99.65
Element x y z (fractional)
1 K 0.070 0.680 0.823
2 K 0.177 0.930 0.320
3 K 0.204 0.322 0.590
4 K 0.320 0.177 0.930
5 K 0.322 0.590 0.204
6 K 0.410 0.796 0.678
7 K 0.590 0.204 0.322
8 K 0.678 0.410 0.796
9 K 0.680 0.823 0.070
10 K 0.796 0.678 0.410
11 K 0.823 0.070 0.680
12 K 0.930 0.320 0.177
13 Hg 0.500 0.500 0.500
14 Au 0.000 0.000 0.000
15 Au 0.112 0.596 0.454
16 Au 0.404 0.546 0.888
17 Au 0.454 0.112 0.596
18 Au 0.546 0.888 0.404
19 Au 0.596 0.454 0.112
20 Au 0.888 0.404 0.546

(3)
Compound: KHg3Au8
Source: Alexandria
Functional: PBE-GGA
Structure: relaxed

Output
N(E_F): 3.95 states/eV/f.u.
DFT formation energy: -0.06 eV per atom

abc: 5.666 5.674 9.703
angles: 73.48 73.31 60.39
Element x y z (fractional)
1 K 0.000 0.000 0.000
2 Hg 0.374 0.374 0.874
3 Hg 0.501 0.496 0.497
4 Hg 0.874 0.871 0.379
5 Au 0.187 0.183 0.439
6 Au 0.436 0.439 0.195
7 Au 0.438 0.939 0.189
8 Au 0.441 0.968 0.684
9 Au 0.688 0.686 0.936
10 Au 0.900 0.434 0.685
11 Au 0.936 0.440 0.192
12 Au 0.975 0.896 0.683

(4)
Compound: K2Hg8Au3
Source: Alexandria
Functional: PBE-GGA
Structure: relaxed

Output
N(E_F): 2.56 states/eV/f.u.
DFT formation energy: -0.13 eV per atom

abc: 9.567 9.567 5.428
angles: 98.86 98.86 45.96
Element x y z (fractional)
1 K 0.175 0.175 0.244
2 K 0.825 0.825 0.756
3 Hg 0.136 0.604 0.283
4 Hg 0.288 0.288 0.804
5 Hg 0.396 0.864 0.717
6 Hg 0.455 0.455 0.719
7 Hg 0.545 0.545 0.281
8 Hg 0.604 0.136 0.283
9 Hg 0.712 0.712 0.196
10 Hg 0.864 0.396 0.717
11 Au 0.000 0.000 0.500
12 Au 0.181 0.819 0.000
13 Au 0.819 0.181 0.000

(5)
Compound: K12HgAu6
Source: Alexandria
Functional: PBE-GGA
Structure: relaxed

Output
N(E_F): 5.25 states/eV/f.u.
DFT formation energy: -0.22 eV per atom

abc: 10.169 10.169 10.169
angles: 109.47 109.47 109.47
Element x y z (fractional)
1 K 0.128 0.821 0.306
2 K 0.179 0.306 0.485
3 K 0.179 0.694 0.872
4 K 0.306 0.128 0.821
5 K 0.306 0.485 0.179
6 K 0.485 0.179 0.306
7 K 0.515 0.821 0.694
8 K 0.694 0.515 0.821
9 K 0.694 0.872 0.179
10 K 0.821 0.306 0.128
11 K 0.821 0.694 0.515
12 K 0.872 0.179 0.694
13 Hg 0.000 0.000 0.000
14 Au 0.122 0.622 0.500
15 Au 0.378 0.500 0.878
16 Au 0.500 0.122 0.622
17 Au 0.500 0.878 0.378
18 Au 0.622 0.500 0.122
19 Au 0.878 0.378 0.500

(6)
Compound: K5Hg3Au3
Source: Alexandria
Functional: PBE-GGA
Structure: relaxed

Output
N(E_F): 4.97 states/eV/f.u.
DFT formation energy: -0.20 eV per atom

abc: 10.138 10.138 5.412
angles: 90.00 90.00 120.00
Element x y z (fractional)
1 K 0.000 0.256 0.000
2 K 0.256 0.000 0.000
3 K 0.333 0.667 0.000
4 K 0.667 0.333 0.000
5 K 0.744 0.744 0.000
6 Hg 0.000 0.629 0.500
7 Hg 0.371 0.371 0.500
8 Hg 0.629 0.000 0.500
9 Au 0.000 0.628 0.000
10 Au 0.372 0.372 0.000
11 Au 0.628 0.000 0.000

(7)
Compound: KHg3Au
Source: Alexandria
Functional: PBE-GGA
Structure: relaxed

Output
N(E_F): 1.33 states/eV/f.u.
DFT formation energy: -0.20 eV per atom

abc: 7.223 7.223 6.748
angles: 90.00 90.00 123.44
Element x y z (fractional)
1 K 0.244 0.756 0.750
2 K 0.756 0.244 0.250
3 Hg 0.140 0.860 0.250
4 Hg 0.266 0.266 0.000
5 Hg 0.266 0.266 0.500
6 Hg 0.734 0.734 0.000
7 Hg 0.734 0.734 0.500
8 Hg 0.860 0.140 0.750
9 Au 0.359 0.641 0.250
10 Au 0.641 0.359 0.750

(8)
Compound: K2Hg3Au5
Source: Alexandria
Functional: PBE-GGA
Structure: relaxed

Output
N(E_F): 2.50 states/eV/f.u.
DFT formation energy: -0.18 eV per atom

abc: 9.717 9.717 9.717
angles: 109.31 82.49 143.13
Element x y z (fractional)
1 K 0.159 0.222 0.381
2 K 0.341 0.722 0.063
3 K 0.659 0.278 0.937
4 K 0.841 0.778 0.619
5 Hg 0.084 0.690 0.773
6 Hg 0.250 0.250 0.000
7 Hg 0.416 0.190 0.606
8 Hg 0.584 0.810 0.394
9 Hg 0.750 0.750 0.000
10 Hg 0.916 0.310 0.227
11 Au 0.057 0.750 0.307
12 Au 0.158 0.921 0.078
13 Au 0.250 0.750 0.500
14 Au 0.342 0.421 0.763
15 Au 0.443 0.750 0.693
16 Au 0.557 0.250 0.307
17 Au 0.658 0.579 0.237
18 Au 0.750 0.250 0.500
19 Au 0.842 0.079 0.922
20 Au 0.943 0.250 0.693

(9)
Compound: K6HgAu2
Source: Alexandria
Functional: PBE-GGA
Structure: relaxed

Output
N(E_F): 3.18 states/eV/f.u.
DFT formation energy: -0.22 eV per atom

abc: 10.018 10.018 10.018
angles: 113.88 111.21 103.50
Element x y z (fractional)
1 K 0.015 0.844 0.171
2 K 0.256 0.565 0.309
3 K 0.256 0.946 0.691
4 K 0.286 0.324 0.610
5 K 0.286 0.676 0.962
6 K 0.327 0.156 0.171
7 K 0.673 0.844 0.829
8 K 0.714 0.324 0.038
9 K 0.714 0.676 0.390
10 K 0.744 0.054 0.309
11 K 0.744 0.435 0.691
12 K 0.985 0.156 0.829
13 Hg 0.000 0.500 0.500
14 Hg 0.500 0.000 0.500
15 Au 0.000 0.217 0.217
16 Au 0.000 0.783 0.783
17 Au 0.383 0.383 0.000
18 Au 0.617 0.617 0.000

(10)
Compound: KHg10Au3
Source: Alexandria
Functional: PBE-GGA
Structure: relaxed

Output
N(E_F): 3.36 states/eV/f.u.
DFT formation energy: -0.03 eV per atom

abc: 10.406 10.406 10.406
angles: 60.00 60.00 60.00
Element x y z (fractional)
1 K 0.250 0.250 0.250
2 K 0.750 0.750 0.750
3 Hg 0.000 0.000 0.350
4 Hg 0.000 0.000 0.650
5 Hg 0.000 0.350 0.000
6 Hg 0.000 0.350 0.650
7 Hg 0.000 0.650 0.000
8 Hg 0.000 0.650 0.350
9 Hg 0.166 0.611 0.611
10 Hg 0.350 0.000 0.000
11 Hg 0.350 0.000 0.650
12 Hg 0.350 0.650 0.000
13 Hg 0.389 0.389 0.389
14 Hg 0.389 0.389 0.834
15 Hg 0.389 0.834 0.389
16 Hg 0.611 0.166 0.611
17 Hg 0.611 0.611 0.166
18 Hg 0.611 0.611 0.611
19 Hg 0.650 0.000 0.000
20 Hg 0.650 0.000 0.350
21 Hg 0.650 0.350 0.000
22 Hg 0.834 0.389 0.389
23 Au 0.257 0.257 0.743
24 Au 0.257 0.743 0.257
25 Au 0.257 0.743 0.743
26 Au 0.743 0.257 0.257
27 Au 0.743 0.257 0.743
28 Au 0.743 0.743 0.257

(11)
Compound: K4Hg12Au
Source: Alexandria
Functional: PBE-GGA
Structure: relaxed

Output
N(E_F): 7.08 states/eV/f.u.
DFT formation energy: -0.20 eV per atom

abc: 8.723 8.723 8.723
angles: 109.47 109.47 109.47
Element x y z (fractional)
1 K 0.000 0.000 0.500
2 K 0.000 0.500 0.000
3 K 0.500 0.000 0.000
4 K 0.500 0.500 0.500
5 Hg 0.000 0.291 0.291
6 Hg 0.000 0.709 0.709
7 Hg 0.250 0.500 0.750
8 Hg 0.250 0.750 0.500
9 Hg 0.291 0.000 0.291
10 Hg 0.291 0.291 0.000
11 Hg 0.500 0.250 0.750
12 Hg 0.500 0.750 0.250
13 Hg 0.709 0.000 0.709
14 Hg 0.709 0.709 0.000
15 Hg 0.750 0.250 0.500
16 Hg 0.750 0.500 0.250
17 Au 0.000 0.000 0.000

(12)
Compound: K4Hg3Au
Source: Alexandria
Functional: PBE-GGA
Structure: relaxed

Output
N(E_F): 3.60 states/eV/f.u.
DFT formation energy: -0.27 eV per atom

abc: 4.901 5.013 12.436
angles: 90.00 90.00 90.00
Element x y z (fractional)
1 K 0.000 0.000 0.000
2 K 0.000 0.500 0.475
3 K 0.500 0.000 0.697
4 K 0.500 0.500 0.204
5 Hg 0.000 0.500 0.771
6 Hg 0.500 0.000 0.408
7 Hg 0.500 0.500 0.915
8 Au 0.000 0.000 0.278

Summary of total energy in eV/atom
-1.42 -2.03 -2.42 -1.24 -1.97 -1.68 -1.25 -2.13 -1.71 -1.02 -0.86 -1.35
(order as listed above)